No. 1
## BeAs2W (SCAN)

Data for a PBEsol-optimized structure of BeAs2W.

abc: 4.2761 4.2761 3.1851
angles: 90.00 90.00 99.19
Last column: nearest neighbours and their distance in Å.
Element x y z (fractional)
Be: 0.0000 0.0000 0.0000  8 As 2.67, 2 W 2.77
As: 0.0000 0.5000 0.5000  4 W 2.67, 4 Be 2.67, 2 As 2.77
As: 0.5000 0.0000 0.5000  4 W 2.67, 4 Be 2.67, 2 As 2.77
W: 0.5000 0.5000 0.0000  8 As 2.67, 2 Be 2.77

VASP energy in eV per formula unit: -112.3
Formation enthalpy at 0 K in eV per atom: 0.5201

No. 2
## KNbP2Pt (SCAN)

Data for a PBEsol-optimized structure of KNbP2Pt.

abc: 4.8116 4.8116 5.0850
angles: 90.00 90.00 90.00
Last column: nearest neighbours and their distance in Å.
Element x y z (fractional)
K: 0.0000 0.0000 0.0000  4 Nb 3.40, 8 P 3.50
Nb: 0.5000 0.5000 0.0000  2 Pt 2.54
P: 0.0000 0.5000 0.5000  2 Pt 2.41
P: 0.5000 0.0000 0.5000  2 Pt 2.41
Pt: 0.5000 0.5000 0.5000  4 P 2.41, 2 Nb 2.54

VASP energy in eV per formula unit: -129.1
Formation enthalpy at 0 K in eV per atom: 0.6673

No. 3
## Li2TcO3 (SCAN)

Data for a PBEsol-optimized structure of Li2TcO3.

abc: 4.7682 4.7682 10.1349
angles: 94.45 94.45 119.94
Last column: nearest neighbours and their distance in Å.
Element x y z (fractional)
Li: 0.0000 0.5000 0.5000  6 O 2.03-2.08
Li: 0.0831 0.9169 0.7500  6 O 1.97-1.98
Li: 0.1586 0.3179 0.9999  6 O 1.99-2.12
Li: 0.3179 0.1586 0.4999  6 O 1.99-2.12
Li: 0.5000 0.0000 0.0000  6 O 2.03-2.08
Li: 0.6821 0.8414 0.5001  6 O 1.99-2.12
Li: 0.8414 0.6821 0.0001  6 O 1.99-2.12
Li: 0.9169 0.0831 0.2500  6 O 1.97-1.98
Tc: 0.2513 0.7487 0.2500  6 O 2.02
Tc: 0.4162 0.5838 0.7500  6 O 2.02
Tc: 0.5838 0.4162 0.2500  6 O 2.02
Tc: 0.7487 0.2513 0.7500  6 O 2.02
O: 0.0427 0.2022 0.6292  4 Li 1.97-2.08, 2 Tc 2.02
O: 0.1231 0.6321 0.8721  4 Li 1.97-2.11, 2 Tc 2.02
O: 0.2022 0.0427 0.1292  4 Li 1.97-2.08, 2 Tc 2.02
O: 0.2834 0.4486 0.3722  4 Li 1.98-2.12, 2 Tc 2.02
O: 0.3679 0.8769 0.6279  4 Li 1.97-2.11, 2 Tc 2.02
O: 0.4486 0.2834 0.8722  4 Li 1.98-2.12, 2 Tc 2.02
O: 0.5514 0.7166 0.1278  4 Li 1.98-2.12, 2 Tc 2.02
O: 0.6321 0.1231 0.3721  4 Li 1.97-2.11, 2 Tc 2.02
O: 0.7166 0.5514 0.6278  4 Li 1.98-2.12, 2 Tc 2.02
O: 0.7978 0.9573 0.8708  4 Li 1.97-2.08, 2 Tc 2.02
O: 0.8769 0.3679 0.1279  4 Li 1.97-2.11, 2 Tc 2.02
O: 0.9573 0.7978 0.3708  4 Li 1.97-2.08, 2 Tc 2.02

VASP energy in eV per formula unit: -70.2